# 1
A plane-wave DFT calculation with PBE-GGA was carried out for TcAgRu after structural relaxation.

Properties
space-group type	No. 216
magnetization	0.000	μB per cell
formation energy from the elements	21.29	kcal/mol of atoms
density of states at the Fermi level	16.855	states/eV per cell

Cell: 6.001 6.001 6.001 Å, 90.00 90.00 90.00°
Atoms (fractional coordinates):
Tc (0.000, 0.000, 0.000)
Tc (0.000, 0.500, 0.500)
Tc (0.500, 0.000, 0.500)
Tc (0.500, 0.500, 0.000)
Ag (0.000, 0.000, 0.500)
Ag (0.000, 0.500, 0.000)
Ag (0.500, 0.000, 0.000)
Ag (0.500, 0.500, 0.500)
Ru (0.250, 0.250, 0.250)
Ru (0.250, 0.750, 0.750)
Ru (0.750, 0.250, 0.750)
Ru (0.750, 0.750, 0.250)



# 2
A plane-wave DFT calculation with PBE-GGA was carried out for TcAg4Ru after structural relaxation.

Properties
space-group type	No. 216
magnetization	1.336	μB per cell
formation energy from the elements	20.17	kcal/mol of atoms
density of states at the Fermi level	7.066	states/eV per cell

Cell: 5.290 5.290 5.290 Å, 60.00 60.00 60.00°
Atoms (fractional coordinates):
Tc (0.000, 0.000, 0.000)
Ag (0.375, 0.375, 0.375)
Ag (0.375, 0.375, 0.875)
Ag (0.375, 0.875, 0.375)
Ag (0.875, 0.375, 0.375)
Ru (0.750, 0.750, 0.750)



# 3
A plane-wave DFT calculation with PBE-GGA was carried out for Tc2AgRu2 after structural relaxation.

Properties
space-group type	No. 127
magnetization	0.000	μB per cell
formation energy from the elements	5.97	kcal/mol of atoms
density of states at the Fermi level	8.039	states/eV per cell

Cell: 7.535 7.535 2.744 Å, 90.00 90.00 90.00°
Atoms (fractional coordinates):
Tc (0.166, 0.334, 0.000)
Tc (0.334, 0.834, 0.000)
Tc (0.666, 0.166, 0.000)
Tc (0.834, 0.666, 0.000)
Ag (0.000, 0.000, 0.500)
Ag (0.500, 0.500, 0.500)
Ru (0.125, 0.625, 0.500)
Ru (0.375, 0.125, 0.500)
Ru (0.625, 0.875, 0.500)
Ru (0.875, 0.375, 0.500)



# 4
A plane-wave DFT calculation with PBE-GGA was carried out for TcAgRu after structural relaxation.

Properties
space-group type	No. 107
magnetization	0.000	μB per cell
formation energy from the elements	7.12	kcal/mol of atoms
density of states at the Fermi level	6.070	states/eV per cell

Cell: 2.826 2.826 11.793 Å, 90.00 90.00 90.00°
Atoms (fractional coordinates):
Tc (0.000, 0.000, 0.000)
Tc (0.500, 0.500, 0.500)
Ag (0.000, 0.000, 0.684)
Ag (0.500, 0.500, 0.184)
Ru (0.000, 0.000, 0.367)
Ru (0.500, 0.500, 0.867)



# 5
A plane-wave DFT calculation with PBE-GGA was carried out for TcAgRu after structural relaxation.

Properties
space-group type	No. 156
magnetization	0.000	μB per cell
formation energy from the elements	5.23	kcal/mol of atoms
density of states at the Fermi level	2.351	states/eV per cell

Cell: 2.772 2.772 7.004 Å, 90.00 90.00 120.00°
Atoms (fractional coordinates):
Tc (0.000, 0.000, 0.000)
Ag (0.333, 0.667, 0.359)
Ru (0.667, 0.333, 0.715)



# 6
A plane-wave DFT calculation with PBE-GGA was carried out for TcAgRu after structural relaxation.

Properties
space-group type	No. 42
magnetization	1.023	μB per cell
formation energy from the elements	10.61	kcal/mol of atoms
density of states at the Fermi level	13.110	states/eV per cell

Cell: 2.849 4.606 14.408 Å, 90.00 90.00 90.00°
Atoms (fractional coordinates):
Tc (0.000, 0.000, 0.000)
Tc (0.000, 0.500, 0.500)
Tc (0.500, 0.000, 0.500)
Tc (0.500, 0.500, 0.000)
Ag (0.000, 0.000, 0.323)
Ag (0.000, 0.500, 0.823)
Ag (0.500, 0.000, 0.823)
Ag (0.500, 0.500, 0.323)
Ru (0.000, 0.000, 0.647)
Ru (0.000, 0.500, 0.147)
Ru (0.500, 0.000, 0.147)
Ru (0.500, 0.500, 0.647)